Material: ZrSb2Mo
Method: DFT, PBEsol
State: relaxed

Unit cell a=4.8615 b=4.8615 c=4.8615 alpha=60.00 beta=60.00 gamma=60.00
Last column: nearest neighbours and their distance in Å.
Positions (direct):
Sb  0.7500  0.7500  0.7500  4 Sb 2.98, 4 Mo 2.98
Sb  0.0000  0.0000  0.0000  4 Zr 2.98, 4 Sb 2.98
Mo  0.5000  0.5000  0.5000  4 Sb 2.98, 4 Zr 2.98
Zr  0.2500  0.2500  0.2500  4 Mo 2.98, 4 Sb 2.98

Its density of states at the Fermi level is 0.438 states/eV/cell. Its space group is No. 216. The formation energy from raw total energies comes out at 11 kJ/mol of atoms. The value obtained for the relative energy among the computed polymorphs is 92 meV/atom. Its total magnetization is 0.000 μB/f.u.